No. 1
Computed, not measured: a geometry-optimized Zr2SbRh structure at the PBE level of DFT.

Geometry as POSCAR:
```
Zr2SbRh
1.0
3.748 0.000 0.000
0.000 3.748 0.000
0.000 0.000 5.980
Zr Rh Sb
2 1 1
Direct
0.500 0.500 0.282 Zr
0.000 0.000 0.986 Zr
0.000 0.000 0.459 Rh
0.500 0.500 0.773 Sb
```

Calculated values
- E_tot (eV/atom) = -7.623

---

No. 2
Computed, not measured: a geometry-optimized ZrSbRh2 structure at the PBE level of DFT.

Geometry as POSCAR:
```
ZrSbRh2
1.0
4.651 0.000 0.000
2.326 4.028 0.000
2.326 1.343 3.798
Zr Sb Rh
1 1 2
Direct
0.750 0.750 0.750 Zr
0.500 0.500 0.500 Sb
0.000 0.000 0.000 Rh
0.250 0.250 0.250 Rh
```

Calculated values
- E_tot (eV/atom) = -7.193

---

No. 3
Computed, not measured: a geometry-optimized Zr2SbRh structure at the PBE level of DFT.

Geometry as POSCAR:
```
Zr2SbRh
1.0
-1.762 4.413 -0.842
-4.526 1.076 1.282
-0.814 3.016 3.678
Sb Zr Rh
1 2 1
Direct
0.750 0.750 0.750 Sb
0.000 0.000 0.000 Zr
0.250 0.250 0.250 Zr
0.500 0.500 0.500 Rh
```

Calculated values
- E_tot (eV/atom) = -7.373

---

No. 4
Computed, not measured: a geometry-optimized ZrSbRh2 structure at the PBE level of DFT.

Geometry as POSCAR:
```
ZrSbRh2
1.0
-3.234 0.621 0.833
-0.764 -3.818 -0.118
1.298 -0.425 5.356
Sb Rh Zr
1 2 1
Direct
0.000 0.000 0.454 Sb
0.500 0.500 0.288 Rh
0.000 0.000 0.967 Rh
0.500 0.500 0.792 Zr
```

Calculated values
- E_tot (eV/atom) = -7.376

---

No. 5
Computed, not measured: a geometry-optimized ZrSbRh2 structure at the PBE level of DFT.

Geometry as POSCAR:
```
ZrSbRh2
1.0
5.038 -0.019 0.007
3.716 3.402 0.007
1.183 0.457 4.183
Rh Sb Zr
2 1 1
Direct
0.761 0.761 0.687 Rh
0.993 0.993 0.053 Rh
0.492 0.492 0.557 Sb
0.254 0.254 0.203 Zr
```

Calculated values
- E_tot (eV/atom) = -7.466

---

No. 6
Computed, not measured: a geometry-optimized Zr2SbRh structure at the PBE level of DFT.

Geometry as POSCAR:
```
Zr2SbRh
1.0
-4.092 -0.953 -0.816
-0.260 -2.084 3.737
-1.230 3.623 1.934
Zr Rh Sb
2 1 1
Direct
0.000 0.500 0.500 Zr
0.000 0.000 0.000 Zr
0.500 0.500 0.000 Rh
0.500 0.000 0.500 Sb
```

Calculated values
- E_tot (eV/atom) = -7.727

---

No. 7
Computed, not measured: a geometry-optimized ZrSbRh2 structure at the PBE level of DFT.

Geometry as POSCAR:
```
ZrSbRh2
1.0
8.714 0.090 0.053
8.094 3.230 0.053
8.094 1.599 2.807
Rh Zr Sb
2 1 1
Direct
0.248 0.248 0.248 Rh
0.001 0.001 0.001 Rh
0.743 0.743 0.743 Zr
0.508 0.508 0.508 Sb
```

Calculated values
- E_tot (eV/atom) = -6.945

---

No. 8
Computed, not measured: a geometry-optimized ZrSbRh2 structure at the PBE level of DFT.

Geometry as POSCAR:
```
ZrSbRh2
1.0
-4.445 -0.029 -2.150
-4.318 -1.673 1.713
-2.654 2.961 1.348
Zr Rh Sb
1 2 1
Direct
0.250 0.250 0.250 Zr
0.500 0.500 0.500 Rh
0.000 0.000 0.000 Rh
0.750 0.750 0.750 Sb
```

Calculated values
- E_tot (eV/atom) = -7.538